Run a
This record from Alexandria via LeMat-Bulk describes a relaxed structure of ZrB3I. The functional is PBE.

Output
DOS at the Fermi energy = 1.114 states/eV per atom
Symmetry = Pm-3m, No. 221

a = 4.702 Å, b = 4.702 Å, c = 4.702 Å
α = 90.00°, β = 90.00°, γ = 90.00°
Positions (direct):
I1 0.500 0.500 0.500
B1 0.000 0.500 0.000
B2 0.000 0.000 0.500
B3 0.500 0.000 0.000
Zr1 0.000 0.000 0.000



Run b
This record from Alexandria via LeMat-Bulk describes a relaxed structure of ZrB3I. The functional is PBE.

Output
DOS at the Fermi energy = 0.748 states/eV per atom
Symmetry = Pm-3m, No. 221

a = 4.333 Å, b = 4.333 Å, c = 4.333 Å
α = 90.00°, β = 90.00°, γ = 90.00°
Positions (direct):
I1 0.000 0.000 0.000
B1 0.000 0.500 0.000
B2 0.000 0.000 0.500
B3 0.500 0.000 0.000
Zr1 0.500 0.500 0.500



Stability comparison, relative energies in kJ/mol of atoms: run a 0.0; run b 29.4



Run a
This record from Alexandria via LeMat-Bulk describes a relaxed structure of In2B. The functional is PBE.

Output
DOS at the Fermi energy = 0.274 states/eV per atom
Symmetry = P1, No. 1

a = 3.860 Å, b = 5.709 Å, c = 6.330 Å
α = 100.18°, β = 85.12°, γ = 110.96°
Positions (direct):
B1 0.522 0.026 0.659
B2 0.687 0.333 0.667
In1 0.321 0.581 0.611
In2 0.741 0.532 0.093
In3 0.013 0.060 0.880
In4 0.468 0.017 0.281



Run b
This record from Alexandria via LeMat-Bulk describes a relaxed structure of In2B. The functional is PBE.

Output
DOS at the Fermi energy = 0.295 states/eV per atom
Symmetry = P-1, No. 2

a = 4.190 Å, b = 5.398 Å, c = 6.159 Å
α = 69.63°, β = 77.95°, γ = 81.83°
Positions (direct):
B1 0.067 0.646 0.967
B2 0.933 0.354 0.033
In1 0.973 0.121 0.743
In2 0.027 0.879 0.257
In3 0.595 0.668 0.714
In4 0.405 0.332 0.286



Stability comparison, relative energies in kJ/mol of atoms: run a 0.0; run b 1.3



Run a
This record from Alexandria via LeMat-Bulk describes a relaxed structure of In3BIr. The functional is PBE.

Output
DOS at the Fermi energy = 0.616 states/eV per atom
Symmetry = Pm-3m, No. 221

a = 4.602 Å, b = 4.602 Å, c = 4.602 Å
α = 90.00°, β = 90.00°, γ = 90.00°
Positions (direct):
B1 0.000 0.000 0.000
Ir1 0.500 0.500 0.500
In1 0.000 0.500 0.000
In2 0.000 0.000 0.500
In3 0.500 0.000 0.000



Run b
This record from Alexandria via LeMat-Bulk describes a relaxed structure of In3BIr. The functional is PBE.

Output
DOS at the Fermi energy = 0.800 states/eV per atom
Symmetry = Pm-3m, No. 221

a = 5.138 Å, b = 5.138 Å, c = 5.138 Å
α = 90.00°, β = 90.00°, γ = 90.00°
Positions (direct):
B1 0.500 0.500 0.500
Ir1 0.000 0.000 0.000
In1 0.000 0.500 0.000
In2 0.000 0.000 0.500
In3 0.500 0.000 0.000



Stability comparison, relative energies in kJ/mol of atoms: run a 0.0; run b 4.2



Run a
This record from Alexandria via LeMat-Bulk describes a relaxed structure of K2InB. The functional is PBE.

Output
DOS at the Fermi energy = 0.940 states/eV per atom
Symmetry = Fm-3m, No. 225

a = 5.643 Å, b = 5.643 Å, c = 5.643 Å
α = 60.00°, β = 60.00°, γ = 60.00°
Positions (direct):
K1 0.250 0.250 0.250
K2 0.750 0.750 0.750
B1 0.000 0.000 0.000
In1 0.500 0.500 0.500



Run b
This record from Alexandria via LeMat-Bulk describes a relaxed structure of K2InB. The functional is PBE.

Output
DOS at the Fermi energy = 0.347 states/eV per atom
Symmetry = I-42d, No. 122

a = 12.631 Å, b = 12.631 Å, c = 9.182 Å
α = 46.54°, β = 46.54°, γ = 90.00°
Positions (direct):
K1 0.416 0.125 0.250
K2 0.334 0.625 0.250
K3 0.375 0.584 0.750
K4 0.875 0.666 0.750
B1 0.500 0.500 0.000
B2 0.250 0.750 0.500
In1 0.000 0.000 0.000
In2 0.750 0.250 0.500



Stability comparison, relative energies in kJ/mol of atoms: run a 56.7; run b 0.0



Run a
This record from Alexandria via LeMat-Bulk describes a relaxed structure of KIn2B2. The functional is PBE.

Output
DOS at the Fermi energy = 0.331 states/eV per atom
Symmetry = P4/mbm, No. 127

a = 8.004 Å, b = 8.004 Å, c = 2.978 Å
α = 90.00°, β = 90.00°, γ = 90.00°
Positions (direct):
K1 0.000 0.000 0.000
K2 0.500 0.500 0.000
B1 0.151 0.651 0.500
B2 0.651 0.849 0.500
B3 0.849 0.349 0.500
B4 0.349 0.151 0.500
In1 0.366 0.866 0.000
In2 0.866 0.634 0.000
In3 0.634 0.134 0.000
In4 0.134 0.366 0.000



Run b
This record from Alexandria via LeMat-Bulk describes a relaxed structure of KIn2B2. The functional is PBE.

Output
DOS at the Fermi energy = 0.470 states/eV per atom
Symmetry = I4/mmm, No. 139

a = 4.416 Å, b = 4.416 Å, c = 6.130 Å
α = 68.89°, β = 68.89°, γ = 90.00°
Positions (direct):
K1 0.000 0.000 0.000
B1 0.750 0.250 0.500
B2 0.250 0.750 0.500
In1 0.350 0.350 0.301
In2 0.650 0.650 0.699



Stability comparison, relative energies in kJ/mol of atoms: run a 31.0; run b 0.0



Run a
This record from Alexandria via LeMat-Bulk describes a relaxed structure of LaIn3B. The functional is PBE.

Output
DOS at the Fermi energy = 1.359 states/eV per atom
Symmetry = Pm-3m, No. 221

a = 6.126 Å, b = 6.126 Å, c = 6.126 Å
α = 90.00°, β = 90.00°, γ = 90.00°
Positions (direct):
B1 0.500 0.500 0.500
In1 0.000 0.500 0.000
In2 0.000 0.000 0.500
In3 0.500 0.000 0.000
La1 0.000 0.000 0.000



Run b
This record from Alexandria via LeMat-Bulk describes a relaxed structure of LaIn3B. The functional is PBE.

Output
DOS at the Fermi energy = 0.509 states/eV per atom
Symmetry = Pm-3m, No. 221

a = 4.947 Å, b = 4.947 Å, c = 4.947 Å
α = 90.00°, β = 90.00°, γ = 90.00°
Positions (direct):
B1 0.000 0.000 0.000
In1 0.000 0.500 0.000
In2 0.000 0.000 0.500
In3 0.500 0.000 0.000
La1 0.500 0.500 0.500



Stability comparison, relative energies in kJ/mol of atoms: run a 135.1; run b 0.0



Run a
This record from Alexandria via LeMat-Bulk describes a relaxed structure of Mg2InB. The functional is PBE.

Output
DOS at the Fermi energy = 0.080 states/eV per atom
Symmetry = I-42d, No. 122

a = 5.717 Å, b = 5.717 Å, c = 7.657 Å
α = 68.08°, β = 68.08°, γ = 90.00°
Positions (direct):
Mg1 0.456 0.125 0.250
Mg2 0.294 0.625 0.250
Mg3 0.375 0.544 0.750
Mg4 0.875 0.706 0.750
B1 0.500 0.500 0.000
B2 0.250 0.750 0.500
In1 0.000 0.000 0.000
In2 0.750 0.250 0.500



Run b
This record from Alexandria via LeMat-Bulk describes a relaxed structure of Mg2InB. The functional is PBE.

Output
DOS at the Fermi energy = 0.032 states/eV per atom
Symmetry = Fm-3m, No. 225

a = 4.686 Å, b = 4.686 Å, c = 4.686 Å
α = 60.00°, β = 60.00°, γ = 60.00°
Positions (direct):
Mg1 0.250 0.250 0.250
Mg2 0.750 0.750 0.750
B1 0.000 0.000 0.000
In1 0.500 0.500 0.500



Stability comparison, relative energies in kJ/mol of atoms: run a 14.8; run b 0.0



Run a
This record from Alexandria via LeMat-Bulk describes a relaxed structure of Mg2InB2. The functional is PBE.

Output
DOS at the Fermi energy = 0.437 states/eV per atom
Symmetry = I4/mmm, No. 139

a = 2.995 Å, b = 2.995 Å, c = 8.755 Å
α = 80.15°, β = 80.15°, γ = 90.00°
Positions (direct):
Mg1 0.363 0.363 0.274
Mg2 0.637 0.637 0.726
B1 0.750 0.250 0.500
B2 0.250 0.750 0.500
In1 0.000 0.000 0.000



Run b
This record from Alexandria via LeMat-Bulk describes a relaxed structure of Mg2InB2. The functional is PBE.

Output
DOS at the Fermi energy = 0.421 states/eV per atom
Symmetry = P4/mbm, No. 127

a = 7.406 Å, b = 7.406 Å, c = 2.849 Å
α = 90.00°, β = 90.00°, γ = 90.00°
Positions (direct):
Mg1 0.369 0.869 0.000
Mg2 0.869 0.631 0.000
Mg3 0.631 0.131 0.000
Mg4 0.131 0.369 0.000
B1 0.171 0.671 0.500
B2 0.671 0.829 0.500
B3 0.829 0.329 0.500
B4 0.329 0.171 0.500
In1 0.000 0.000 0.000
In2 0.500 0.500 0.000



Stability comparison, relative energies in kJ/mol of atoms: run a 0.0; run b 35.3